DFT (PBE) results for a geometry-optimized LiP2W structure.

Lattice parameters (Å, degrees): 3.268 4.888 7.609 90.00 90.00 90.00
Space group Cmmm (No. 65)
Asymmetric unit:
Li: 0.000 0.000 0.000 (multiplicity 2)
P: 0.000 0.500 0.260 (multiplicity 4)
W: 0.000 0.000 0.500 (multiplicity 2)

Relative energy among the computed polymorphs (eV/atom): 0.3301
Crystal system: orthorhombic



DFT (PBE) results for a geometry-optimized ReI structure.

Lattice parameters (Å, degrees): 5.945 5.945 5.945 90.00 90.00 90.00
Space group F-43m (No. 216)
Asymmetric unit:
Re: 0.000 0.000 0.000 (multiplicity 4)
I: 0.250 0.250 0.250 (multiplicity 4)

Relative energy among the computed polymorphs (eV/atom): 1.3101
Formation energy from raw total energies (eV/atom): 1.839
Crystal system: cubic



DFT (PBE) results for a geometry-optimized Nb3Pt structure.

Lattice parameters (Å, degrees): 5.200 5.200 5.200 90.00 90.00 90.00
Space group Pm-3n (No. 223)
Asymmetric unit:
Nb: 0.000 0.250 0.500 (multiplicity 6)
Pt: 0.000 0.000 0.000 (multiplicity 2)

Final energy (eV per atom): -9.4742
Crystal system: cubic



DOS(E_F)? In order: 4.110 6.074 9.148 states/eV per cell.